# 1
The following is a PBE-GGA calculation of a geometry-optimized CaHg structure, from Alexandria via LeMat-Bulk.

a b c (Å): 3.9516 3.9516 9.0849
angles (deg): 90.00 90.00 120.00
Space group P6_3/mmc (No. 194)
Inequivalent atoms, fractional coordinates:
Ca 0.0000 0.0000 0.0000 x2
Hg 0.3333 0.6667 0.2500 x2

Fermi-level density of states (states/eV/cell): 2.60
Formation energy (eV/atom): -0.3977
Uncorrected energy (eV for the cell shown): -6.2

# 2
The following is a PBE-GGA calculation of a geometry-optimized AcTb4Sb5 structure, from Alexandria via LeMat-Bulk.

a b c (Å): 4.4776 6.3676 22.4137
angles (deg): 90.00 90.00 90.00
Space group Immm (No. 71)
Inequivalent atoms, fractional coordinates:
Ac 0.0000 0.0000 0.0000 x2
Tb 0.0000 0.0000 0.2042 x4
Tb 0.0000 0.0000 0.3987 x4
Sb 0.0000 0.5000 0.0000 x2
Sb 0.0000 0.5000 0.1987 x4
Sb 0.0000 0.5000 0.3916 x4

Fermi-level density of states (states/eV/cell): 3.94
Uncorrected energy (eV for the cell shown): -109.1